# 1
Computed, not measured: a geometry-optimized NpAs2 structure at the PBE level of DFT.

Unit cell a=5.4361 b=5.4940 c=4.8927 alpha=90.00 beta=115.94 gamma=90.00
Space group C2/m (No. 12)
One atom of each set of equivalent atoms:
Np (0.0000, 0.0000, 0.0000) [2 per cell]
As (0.1036, 0.5000, 0.2873) [4 per cell]

Computed properties:
ΔE_f, eV per formula unit: -0.98
D(E_F), states/eV/atom: 2.7557

# 2
Computed, not measured: a geometry-optimized DyMgScS4 structure at the PBE level of DFT.

Unit cell a=7.6682 b=7.8016 c=10.9406 alpha=90.00 beta=90.00 gamma=90.00
Space group Imma (No. 74)
One atom of each set of equivalent atoms:
Dy (0.0000, 0.0000, 0.0000) [4 per cell]
Mg (0.0000, 0.2500, 0.3744) [4 per cell]
Sc (0.2500, 0.2500, 0.7500) [4 per cell]
S (0.0000, 0.0201, 0.7506) [8 per cell]
S (0.2455, 0.2500, 0.9876) [8 per cell]

Computed properties:
D(E_F), states/eV/atom: 0.0000
Raw formation energy, meV per atom: -1829

# 3
Computed, not measured: a geometry-optimized CrS structure at the PBE level of DFT.

Unit cell a=6.7576 b=6.7576 c=6.7576 alpha=90.00 beta=90.00 gamma=90.00
Space group Pm-3n (No. 223)
One atom of each set of equivalent atoms:
Cr (0.0000, 0.2500, 0.5000) [6 per cell]
S (0.0000, 0.5000, 0.2500) [6 per cell]

Computed properties:
D(E_F), states/eV/atom: 0.6522
Raw formation energy, meV per atom: -286

# 4
Computed, not measured: a geometry-optimized PmY2ErS4 structure at the PBE level of DFT.

Unit cell a=6.8161 b=3.8973 c=6.8618 alpha=90.00 beta=109.01 gamma=90.00
Space group P2/m (No. 10)
One atom of each set of equivalent atoms:
Pm (0.0000, 0.0000, 0.0000) [1 per cell]
Y (0.5000, 0.0000, 0.5000) [1 per cell]
Y (0.5000, 0.5000, 0.0000) [1 per cell]
Er (0.0000, 0.5000, 0.5000) [1 per cell]
S (0.2497, 0.0000, 0.7425) [2 per cell]
S (0.2555, 0.5000, 0.2594) [2 per cell]

Computed properties:
D(E_F), states/eV/atom: 0.5973
Raw formation energy, meV per atom: -1989

# 5
Computed, not measured: a geometry-optimized BaScP2 structure at the PBE level of DFT.

Unit cell a=3.6528 b=3.7971 c=14.6294 alpha=90.00 beta=90.00 gamma=90.00
Space group Imm2 (No. 44)
One atom of each set of equivalent atoms:
Ba (0.0000, 0.0000, 0.0000) [2 per cell]
Sc (0.0000, 0.5000, 0.2461) [2 per cell]
P (0.0000, 0.0000, 0.3754) [2 per cell]
P (0.0000, 0.5000, 0.6915) [2 per cell]

Computed properties:
ΔE_f, eV per formula unit: -3.17
D(E_F), states/eV/atom: 0.9803
Energy above the lowest structure with this stoichiometry, kJ per mole of atoms: 18.9

# 6
Computed, not measured: a geometry-optimized Sr2Fe structure at the PBE level of DFT.

Unit cell a=9.7830 b=9.7830 c=9.7830 alpha=90.00 beta=90.00 gamma=90.00
Space group Fd-3m (No. 227, origin choice 2)
One atom of each set of equivalent atoms:
Sr (0.0000, 0.0000, 0.0000) [16 per cell]
Fe (0.1250, 0.1250, 0.6250) [8 per cell]

Computed properties:
ΔE_f, eV per formula unit: 4.02
D(E_F), states/eV/atom: 2.9429

Total magnetic moment list, top to bottom, in μB/atom: 1.16, 0.00, 2.00, 0.00, 0.00, 0.76
Electronic total energy list, top to bottom, in eV/atom: -7.739, -5.977, -7.161, -6.833, -5.561, -2.602